# 1
## CsTl2Pd2 (PBE)

Data for a relaxed CsTl2Pd2 crystal.

The space group is P-1 (No. 2) and the conventional cell measures 6.9788, 7.3151 and 7.5996 Å, with angles of 71.95, 62.99 and 61.55 degrees. The asymmetric unit holds Cs at (0.1293, 0.2500, 0.2502), Tl at (0.1506, 0.1149, 0.7818), Tl at (0.4536, 0.6146, 0.2816), Pd at (0.3094, 0.7002, 0.9675) and Pd at (0.4786, 0.7998, 0.5330).

The formation energy comes out at -0.162 eV/atom. The calculation puts the energy above the most stable polymorph in this dataset at 0 meV per atom. The total magnetic moment is 0.0000 μB/atom. Its crystal system is triclinic. For the mass density, the calculation gives 8.30 g cm⁻³.



# 2
## Cs8TlPd2 (PBE)

Data for a relaxed Cs8TlPd2 crystal.

The space group is C2/m (No. 12) and the conventional cell measures 17.8266, 14.6863 and 7.0230 Å, with angles of 90.00, 105.33 and 90.00 degrees. The asymmetric unit holds Cs at (0.1339, 0.2296, 0.1718), Cs at (0.1386, 0.5000, 0.7022), Cs at (0.1399, 0.0000, 0.6420), Tl at (0.0000, 0.0000, 0.0000) and Pd at (0.1559, 0.0000, 0.1533).

The formation energy comes out at 0.013 eV/atom. The total magnetic moment is 0.0000 μB/atom. Its crystal system is monoclinic. For the mass density, the calculation gives 2.77 g cm⁻³.



# 3
## Cs2Tl3Pd2 (PBE)

Data for a relaxed Cs2Tl3Pd2 crystal.

The space group is P-1 (No. 2) and the conventional cell measures 4.6153, 7.1220 and 7.9606 Å, with angles of 72.42, 73.26 and 71.18 degrees. The asymmetric unit holds Cs at (0.1422, 0.4905, 0.2259), Tl at (0.3474, 0.8617, 0.4427), Tl at (0.5000, 0.0000, 0.0000) and Pd at (0.1092, 0.9878, 0.7938).

The formation energy comes out at -0.145 eV/atom. The total magnetic moment is 0.0000 μB/atom. Its crystal system is triclinic. For the mass density, the calculation gives 7.86 g cm⁻³.